# 1
First-principles (PBEsol) data for an optimized crystal structure of SrBI2N, as listed in Alexandria.

a b c (Å): 2.985 6.207 6.207
angles (deg): 90.00 90.00 90.00
Element x y z (fractional)
I 0.000 0.000 0.500
I 0.000 0.500 0.000
N 0.500 0.000 0.000
Sr 0.500 0.500 0.500
B 0.000 0.000 0.000

Calculated values
Formation energy without anion corrections in eV per atom: -0.14
E in eV/atom: -4.3212



# 2
First-principles (PBEsol) data for an optimized crystal structure of YCrRu2, as listed in Alexandria.

a b c (Å): 3.145 4.462 4.462
angles (deg): 90.00 90.00 90.00
Last column: magnetic moment on the atom in μB.
Element x y z (fractional)
Ru 0.000 0.500 0.000  -0.24
Y 0.500 0.500 0.500  -0.02
Ru 0.000 0.000 0.500  -0.24
Cr 0.500 0.000 0.000  2.23

Calculated values
ΔE to the lowest computed polymorph in kJ per mole of atoms: 0.9
E in eV/atom: -9.1446
Formation energy from the elements in eV/f.u.: 0.8



# 3
First-principles (PBEsol) data for an optimized crystal structure of TmSnIr, as listed in Alexandria.

a b c (Å): 3.741 7.443 7.443
angles (deg): 120.00 90.00 90.00
Element x y z (fractional)
Tm 0.500 0.597 0.000
Ir 0.000 0.333 0.667
Tm 0.500 0.403 0.403
Sn 0.000 0.735 0.735
Tm 0.500 0.000 0.597
Ir 0.000 0.667 0.333
Sn 0.000 0.000 0.265
Ir 0.500 0.000 0.000
Sn 0.000 0.265 0.000

Calculated values
E in eV/atom: -7.2026
Formation energy from the elements in eV/f.u.: -2.6



Number 1: calculated volume 115 Å³/cell, density 5.289 g/cm³. Number 2: calculated volume 63 Å³/cell, density 9.097 g/cm³. Number 3: calculated volume 179 Å³/cell, density 13.319 g/cm³.